Entry 1:
Compound: NaPmAs
Source: the Alexandria database
Functional: PBE-GGA
Structure: optimized geometry

## Properties
As for the formation energy: -0.708 eV per atom. For the energy above the most stable polymorph in this dataset, the calculation gives 0.000 eV/atom.

Cell lengths 8.5972, 4.9716, 8.6660 Å; angles 90.00, 109.36, 90.00 degrees
Space group C2/m (No. 12)
Asymmetric unit:
Na  0.1362  0.0000  0.4088
Pm  0.1169  0.5000  0.8501
As  0.2414  0.5000  0.2237


Entry 2:
Compound: SrPaHg6
Source: the Alexandria database
Functional: PBE-GGA
Structure: optimized geometry

## Properties
As for the formation energy: 0.093 eV per atom.

Cell lengths 6.0080, 6.0080, 25.8492 Å; angles 90.00, 90.00, 120.00 degrees
Space group R-3m (No. 166, hexagonal axes)
Asymmetric unit:
Sr  0.0000  0.0000  0.0000
Pa  0.0000  0.0000  0.5000
Hg  0.0039  0.5020  0.4409


Entry 3:
Compound: HgPdBr4
Source: the Alexandria database
Functional: PBE-GGA
Structure: optimized geometry

## Properties
For the energy above the most stable polymorph in this dataset, the calculation gives 0.084 eV/atom. Its raw formation energy is -0.262 eV/atom.

Cell lengths 12.2876, 8.1808, 7.9627 Å; angles 90.00, 98.88, 90.00 degrees
Space group C2/c (No. 15)
Asymmetric unit:
Hg  0.2500  0.2500  0.0000
Pd  0.0000  0.0031  0.2500
Br  0.0057  0.2217  0.9977
Br  0.2202  0.0088  0.3120


Entry 4:
Compound: ErHg2
Source: the Alexandria database
Functional: PBE-GGA
Structure: optimized geometry

## Properties
As for the formation energy: -0.325 eV per atom.

Cell lengths 5.2658, 5.2760, 10.6058 Å; angles 90.00, 90.00, 90.00 degrees
Space group Fmmm (No. 69)
Asymmetric unit:
Er  0.0000  0.0000  0.0000
Hg  0.0000  0.0000  0.3330